VASP calculation (PBE+U) on an optimized crystal structure of CrGaF.

DFT total energy in eV/atom: -5.00
Density of states at the Fermi level in states/eV/cell: 2.1
Calculated volume in A^3/atom: 17.4

a = 3.198 Å, b = 3.215 Å, c = 10.152 Å
α = 90.00°, β = 90.00°, γ = 90.00°
Space group Amm2 (No. 38)
Unique sites:
Cr1 0.000 0.000 0.000
Ga1 0.500 0.000 0.646
F1 0.500 0.000 0.841